A crystal of Cu2NiPt relaxed with PBEsol, computed with meta-GGA SCAN.

As for the formation energy: -0.0698 eV/atom. The density of states at the Fermi level is 5.87 states/eV/cell.

The structure belongs to space group Cm (No. 8); the cell edges are 8.475, 2.651 and 4.411 Å and the angles 90.00°, 101.58° and 90.00°. The distinct sites, in fractional coordinates, are Cu at (0.000, 0.000, 0.000), Cu at (0.249, 0.500, 0.231), Ni at (0.253, 0.000, 0.743) and Pt at (0.004, 0.500, 0.504).